[1]
An optimized crystal structure of GeAsPb2W. Source: Alexandria, functional PBE.

Summary:
E in eV for the cell shown: -21.0
Volume in Å³ per atom: 27.36
Crystal system: tetragonal
DFT formation energy in kJ/mol of formula units: 831

Cell lengths 5.3907, 5.3907, 4.7082 Å; angles 90.00, 90.00, 90.00 degrees
With the nearest neighbours (Å) after each atom.
Space group P4/mmm (No. 123)
Asymmetric unit:
1 Ge 0.0000 0.0000 0.0000 [1 per cell]  2 As 2.35
2 As 0.0000 0.0000 0.5000 [1 per cell]  2 Ge 2.35
3 Pb 0.0000 0.5000 0.0000 [2 per cell]  2 Ge 2.70
4 W 0.5000 0.5000 0.5000 [1 per cell]  8 Pb 3.58, 4 As 3.81


[2]
An optimized crystal structure of Ge2AsPd4. Source: Alexandria, functional PBE.

Summary:
Energy above the lowest structure with this stoichiometry in meV/atom: 377
E in eV for the cell shown: -67.8
Volume in Å³ per atom: 20.06
Crystal system: tetragonal
DFT formation energy in kJ/mol of formula units: 71

Cell lengths 4.7321, 4.7321, 12.5433 Å; angles 90.00, 90.00, 90.00 degrees
With the nearest neighbours (Å) after each atom.
Space group I4/mmm (No. 139)
Asymmetric unit:
1 Ge 0.0000 0.0000 0.1164 [4 per cell]  1 Pd 2.40
2 As 0.0000 0.0000 0.5000 [2 per cell]  6 Pd 2.37-2.42
3 Pd 0.0000 0.0000 0.3074 [4 per cell]  1 Ge 2.40, 1 As 2.42
4 Pd 0.0000 0.5000 0.0000 [4 per cell]  2 As 2.37


Repeat the first record exactly.
An optimized crystal structure of GeAsPb2W. Source: Alexandria, functional PBE.

Summary:
E in eV for the cell shown: -21.0
Volume in Å³ per atom: 27.36
Crystal system: tetragonal
DFT formation energy in kJ/mol of formula units: 831

Cell lengths 5.3907, 5.3907, 4.7082 Å; angles 90.00, 90.00, 90.00 degrees
With the nearest neighbours (Å) after each atom.
Space group P4/mmm (No. 123)
Asymmetric unit:
1 Ge 0.0000 0.0000 0.0000 [1 per cell]  2 As 2.35
2 As 0.0000 0.0000 0.5000 [1 per cell]  2 Ge 2.35
3 Pb 0.0000 0.5000 0.0000 [2 per cell]  2 Ge 2.70
4 W 0.5000 0.5000 0.5000 [1 per cell]  8 Pb 3.58, 4 As 3.81


> Which of these has the lowest E?

Ge2AsPd4


> Among the records above, which one has the highest DFT formation energy?

GeAsPb2W